Density functional theory data (PBE) for a relaxed structure of Ac2NdSm.

Computed properties:
- Calculated volume: 158.0 Å³ per cell
- Energy relative to the elements: 40 meV/atom
- Final energy: -17.544 eV for the cell shown

```
Ac2NdSm
1.0
-1.963 2.003 -2.640
1.014 -0.194 -3.710
-7.921 -8.934 -3.698
Sm Ac Nd
1 2 1
Direct
0.668 0.668 0.997
0.083 0.083 0.751
0.250 0.250 0.249
0.499 0.499 0.502
```